No. 1
DFT (PBEsol) results for an optimized crystal structure of CrCoPt2Br.

As for the density of states at the Fermi level: 1.369 states/eV/atom. The total magnetization is 5.84 μB/cell. The crystal system is tetragonal. The raw total energy comes out at -5.64 eV/atom.

The structure belongs to space group P4/mmm (No. 123); the cell edges are 4.5036, 4.5036 and 4.6209 Å and the angles 90.00°, 90.00° and 90.00°. The asymmetric unit holds Cr at (0.0000, 0.0000, 0.0000), Co at (0.0000, 0.0000, 0.5000), Pt at (0.0000, 0.5000, 0.5000) and Br at (0.5000, 0.5000, 0.0000).

No. 2
DFT (PBEsol) results for an optimized crystal structure of CsCoBr2.

As for the density of states at the Fermi level: 1.705 states/eV/atom. The total magnetization is 6.52 μB/cell. The crystal system is trigonal. The raw total energy comes out at -3.41 eV/atom.

The structure belongs to space group R-3m (No. 166, hexagonal axes); the cell edges are 3.9459, 3.9459 and 27.5228 Å and the angles 90.00°, 90.00° and 120.00°. The asymmetric unit holds Cs at (0.0000, 0.0000, 0.0000), Co at (0.0000, 0.0000, 0.5000) and Br at (0.0000, 0.0000, 0.1202).

No. 3
DFT (PBEsol) results for an optimized crystal structure of Co2CuBr.

The energy above the most stable polymorph in this dataset is 0.401 eV per atom. As for the density of states at the Fermi level: 1.620 states/eV/atom. The total magnetization is 6.97 μB/cell. The crystal system is orthorhombic. The raw total energy comes out at -4.60 eV/atom.

The structure belongs to space group Cmmm (No. 65); the cell edges are 2.9087, 4.6300 and 8.0831 Å and the angles 90.00°, 90.00° and 90.00°. The asymmetric unit holds Co at (0.0000, 0.0000, 0.2364), Cu at (0.0000, 0.5000, 0.0000) and Br at (0.0000, 0.5000, 0.5000).

No. 4
DFT (PBEsol) results for an optimized crystal structure of CoCu3Br.

The energy above the most stable polymorph in this dataset is 0.443 eV per atom. As for the density of states at the Fermi level: 1.240 states/eV/atom. The total magnetization is 1.62 μB/cell. The crystal system is cubic. The raw total energy comes out at -3.03 eV/atom.

The structure belongs to space group Pm-3m (No. 221); the cell edges are 4.4869, 4.4869 and 4.4869 Å and the angles 90.00°, 90.00° and 90.00°. The asymmetric unit holds Co at (0.0000, 0.0000, 0.0000), Cu at (0.0000, 0.5000, 0.5000) and Br at (0.5000, 0.5000, 0.5000).

No. 5
DFT (PBEsol) results for an optimized crystal structure of Co2CuBr.

The energy above the most stable polymorph in this dataset is 0.000 eV per atom. As for the density of states at the Fermi level: 0.973 states/eV/atom. The total magnetization is 3.54 μB/cell. The crystal system is monoclinic. The raw total energy comes out at -5.00 eV/atom.

The structure belongs to space group Pm (No. 6); the cell edges are 3.0433, 2.9533 and 6.5254 Å and the angles 90.00°, 90.26° and 90.00°. The asymmetric unit holds Co at (0.0000, 0.0000, 0.0000), Co at (0.4985, 0.5000, 0.8346), Cu at (0.5026, 0.5000, 0.2094) and Br at (0.4899, 0.0000, 0.5302).

No. 6
DFT (PBEsol) results for an optimized crystal structure of CoCu3Br.

The energy above the most stable polymorph in this dataset is 0.000 eV per atom. As for the density of states at the Fermi level: 0.897 states/eV/atom. The total magnetization is 1.68 μB/cell. The crystal system is cubic. The raw total energy comes out at -3.47 eV/atom.

The structure belongs to space group Pm-3m (No. 221); the cell edges are 4.4131, 4.4131 and 4.4131 Å and the angles 90.00°, 90.00° and 90.00°. The asymmetric unit holds Co at (0.0000, 0.0000, 0.0000), Cu at (0.0000, 0.0000, 0.5000) and Br at (0.5000, 0.5000, 0.5000).

No. 7
DFT (PBEsol) results for an optimized crystal structure of La2CoCuBr.

As for the density of states at the Fermi level: 1.307 states/eV/atom. The total magnetization is 0.43 μB/cell. The crystal system is tetragonal. The raw total energy comes out at -4.40 eV/atom.

The structure belongs to space group P4/mmm (No. 123); the cell edges are 5.4365, 5.4365 and 4.5770 Å and the angles 90.00°, 90.00° and 90.00°. The asymmetric unit holds La at (0.0000, 0.5000, 0.0000), Co at (0.0000, 0.0000, 0.5000), Cu at (0.5000, 0.5000, 0.0000) and Br at (0.5000, 0.5000, 0.5000).

No. 8
DFT (PBEsol) results for an optimized crystal structure of Er6CoBr10.

As for the density of states at the Fermi level: 0.492 states/eV/atom. The total magnetization is 0.75 μB/cell. The crystal system is triclinic. The raw total energy comes out at -4.83 eV/atom.

The structure belongs to space group P-1 (No. 2); the cell edges are 7.0942, 8.7702 and 8.8859 Å and the angles 107.79°, 97.04° and 105.12°. The asymmetric unit holds Er at (0.0320, 0.2120, 0.4121), Er at (0.1217, 0.5452, 0.2546), Er at (0.3592, 0.6337, 0.6760), Co at (0.0000, 0.5000, 0.5000), Br at (0.0866, 0.8742, 0.3228), Br at (0.2164, 0.2396, 0.1491), Br at (0.2579, 0.5864, 0.9631), Br at (0.3528, 0.9595, 0.7749) and Br at (0.4515, 0.3157, 0.5883).

No. 9
DFT (PBEsol) results for an optimized crystal structure of CoHgBr2F.

As for the density of states at the Fermi level: 1.041 states/eV/atom. The total magnetization is 2.60 μB/cell. The crystal system is tetragonal. The raw total energy comes out at -3.30 eV/atom.

The structure belongs to space group P4/mmm (No. 123); the cell edges are 5.1071, 5.1071 and 3.7776 Å and the angles 90.00°, 90.00° and 90.00°. The asymmetric unit holds Co at (0.0000, 0.0000, 0.0000), Hg at (0.5000, 0.5000, 0.5000), Br at (0.0000, 0.5000, 0.0000) and F at (0.0000, 0.0000, 0.5000).

No. 10
DFT (PBEsol) results for an optimized crystal structure of CoBrOF2.

As for the density of states at the Fermi level: 1.570 states/eV/atom. The total magnetization is 2.44 μB/cell. The crystal system is tetragonal. The raw total energy comes out at -3.31 eV/atom.

The structure belongs to space group P4/mmm (No. 123); the cell edges are 4.6175, 4.6175 and 3.6902 Å and the angles 90.00°, 90.00° and 90.00°. The asymmetric unit holds Co at (0.0000, 0.0000, 0.0000), Br at (0.5000, 0.5000, 0.5000), O at (0.5000, 0.5000, 0.0000) and F at (0.0000, 0.5000, 0.5000).

No. 11
DFT (PBEsol) results for an optimized crystal structure of CoRh2BrF.

As for the density of states at the Fermi level: 1.332 states/eV/atom. The total magnetization is 3.49 μB/cell. The crystal system is tetragonal. The raw total energy comes out at -4.69 eV/atom.

The structure belongs to space group P4/mmm (No. 123); the cell edges are 3.9565, 3.9565 and 5.1210 Å and the angles 90.00°, 90.00° and 90.00°. The asymmetric unit holds Co at (0.0000, 0.0000, 0.0000), Rh at (0.0000, 0.5000, 0.5000), Br at (0.5000, 0.5000, 0.0000) and F at (0.5000, 0.5000, 0.5000).

No. 12
DFT (PBEsol) results for an optimized crystal structure of ZnCo2BrF.

As for the density of states at the Fermi level: 1.589 states/eV/atom. The total magnetization is 2.76 μB/cell. The crystal system is tetragonal. The raw total energy comes out at -3.51 eV/atom.

The structure belongs to space group P4/mmm (No. 123); the cell edges are 4.2823, 4.2823 and 4.6901 Å and the angles 90.00°, 90.00° and 90.00°. The asymmetric unit holds Zn at (0.0000, 0.0000, 0.0000), Co at (0.0000, 0.5000, 0.5000), Br at (0.5000, 0.5000, 0.5000) and F at (0.5000, 0.5000, 0.0000).

No. 13
DFT (PBEsol) results for an optimized crystal structure of Fe2CoBr.

As for the density of states at the Fermi level: 0.937 states/eV/atom. The total magnetization is 7.47 μB/cell. The crystal system is orthorhombic. The raw total energy comes out at -6.48 eV/atom.

The structure belongs to space group Pmmm (No. 47); the cell edges are 2.9148, 3.1276 and 6.5880 Å and the angles 90.00°, 90.00° and 90.00°. The asymmetric unit holds Fe at (0.0000, 0.0000, 0.1830), Co at (0.5000, 0.5000, 0.0000) and Br at (0.5000, 0.0000, 0.5000).

No. 14
DFT (PBEsol) results for an optimized crystal structure of FeCo2Br.

As for the density of states at the Fermi level: 1.006 states/eV/atom. The total magnetization is 11.71 μB/cell. The crystal system is tetragonal. The raw total energy comes out at -5.83 eV/atom.

The structure belongs to space group I4/mmm (No. 139); the cell edges are 3.8291, 3.8291 and 6.8974 Å and the angles 90.00°, 90.00° and 90.00°. The asymmetric unit holds Fe at (0.0000, 0.0000, 0.0000), Co at (0.0000, 0.5000, 0.2500) and Br at (0.0000, 0.0000, 0.5000).

No. 15
DFT (PBEsol) results for an optimized crystal structure of Fe2CoHgBr.

As for the density of states at the Fermi level: 1.426 states/eV/atom. The total magnetization is 6.59 μB/cell. The crystal system is tetragonal. The raw total energy comes out at -4.05 eV/atom.

The structure belongs to space group P4/mmm (No. 123); the cell edges are 4.2541, 4.2541 and 5.5989 Å and the angles 90.00°, 90.00° and 90.00°. The asymmetric unit holds Fe at (0.0000, 0.5000, 0.0000), Co at (0.0000, 0.0000, 0.5000), Hg at (0.5000, 0.5000, 0.5000) and Br at (0.5000, 0.5000, 0.0000).

No. 16
DFT (PBEsol) results for an optimized crystal structure of GaCo2Br.

As for the density of states at the Fermi level: 0.737 states/eV/atom. The total magnetization is 7.65 μB/cell. The crystal system is cubic. The raw total energy comes out at -4.67 eV/atom.

The structure belongs to space group Fm-3m (No. 225); the cell edges are 5.9836, 5.9836 and 5.9836 Å and the angles 90.00°, 90.00° and 90.00°. The asymmetric unit holds Ga at (0.0000, 0.0000, 0.0000), Co at (0.2500, 0.2500, 0.2500) and Br at (0.0000, 0.0000, 0.5000).

No. 17
DFT (PBEsol) results for an optimized crystal structure of GaCo2BrO.

As for the density of states at the Fermi level: 1.035 states/eV/atom. The total magnetization is 3.64 μB/cell. The crystal system is tetragonal. The raw total energy comes out at -5.09 eV/atom.

The structure belongs to space group P4/mmm (No. 123); the cell edges are 3.7322, 3.7322 and 6.1471 Å and the angles 90.00°, 90.00° and 90.00°. The asymmetric unit holds Ga at (0.0000, 0.0000, 0.0000), Co at (0.0000, 0.5000, 0.5000), Br at (0.5000, 0.5000, 0.0000) and O at (0.0000, 0.0000, 0.5000).

No. 18
DFT (PBEsol) results for an optimized crystal structure of CoGeBr3.

As for the density of states at the Fermi level: 1.501 states/eV/atom. The total magnetization is 2.56 μB/cell. The crystal system is cubic. The raw total energy comes out at -3.12 eV/atom.

The structure belongs to space group Pm-3m (No. 221); the cell edges are 5.2456, 5.2456 and 5.2456 Å and the angles 90.00°, 90.00° and 90.00°. The asymmetric unit holds Co at (0.0000, 0.0000, 0.0000), Ge at (0.5000, 0.5000, 0.5000) and Br at (0.0000, 0.5000, 0.5000).

No. 19
DFT (PBEsol) results for an optimized crystal structure of CoGeSe2Br.

As for the density of states at the Fermi level: 1.281 states/eV/atom. The total magnetization is 2.69 μB/cell. The crystal system is tetragonal. The raw total energy comes out at -3.62 eV/atom.

The structure belongs to space group P4/mmm (No. 123); the cell edges are 4.9091, 4.9091 and 5.0731 Å and the angles 90.00°, 90.00° and 90.00°. The asymmetric unit holds Co at (0.0000, 0.0000, 0.0000), Ge at (0.5000, 0.5000, 0.5000), Se at (0.0000, 0.5000, 0.5000) and Br at (0.5000, 0.5000, 0.0000).

No. 20
DFT (PBEsol) results for an optimized crystal structure of CoHg2HBr.

As for the density of states at the Fermi level: 0.730 states/eV/atom. The total magnetization is 2.06 μB/cell. The crystal system is tetragonal. The raw total energy comes out at -2.19 eV/atom.

The structure belongs to space group P4/mmm (No. 123); the cell edges are 5.0742, 5.0742 and 4.5666 Å and the angles 90.00°, 90.00° and 90.00°. The asymmetric unit holds Co at (0.0000, 0.0000, 0.0000), Hg at (0.0000, 0.5000, 0.0000), H at (0.5000, 0.5000, 0.5000) and Br at (0.0000, 0.0000, 0.5000).